#a
10
Lattice="6.998 0.000 0.000 0.000 6.998 0.000 0.000 0.000 5.502" Properties=species:S:1:pos:R:3 comment="K2AlAs2 (PBE-GGA, relaxed)" dos_at_fermi_per_ev_fu=1.55 density_g_cm3=3.1 vol_a3_per_atom=26.9 pbc="T T T"
K 1.187 2.312 0.000
K 2.312 5.812 0.000
K 4.686 1.187 0.000
K 5.812 4.686 0.000
Al 0.000 0.000 2.751
Al 3.499 3.499 2.751
As 0.960 4.459 2.751
As 2.540 0.960 2.751
As 4.459 6.039 2.751
As 6.039 2.540 2.751

#b
10
Lattice="-3.654 6.850 3.154 3.654 -6.850 3.154 3.654 6.850 -3.154" Properties=species:S:1:pos:R:3 comment="K2AlAs2 (PBE-GGA, relaxed)" dos_at_fermi_per_ev_fu=4.52 density_g_cm3=2.7 vol_a3_per_atom=31.6 pbc="T T T"
K 1.204 2.027 0.000
K 1.204 -2.027 3.154
K 2.450 8.877 0.000
K 2.450 4.824 3.154
Al 3.654 0.000 1.577
Al 0.000 6.850 1.577
As 5.015 1.381 0.000
As 1.362 5.470 0.000
As 2.292 1.381 3.154
As -1.362 5.470 3.154

Which structure is the least stable? The one labeled #a.

#a
16
Lattice="2.136 -7.204 0.000 2.136 7.204 0.000 0.000 0.000 14.593" Properties=species:S:1:pos:R:3 comment="K3Al2As3 (PBE-GGA, relaxed)" dos_at_fermi_per_ev_fu=1.04 density_g_cm3=2.9 vol_a3_per_atom=28.1 pbc="T T T"
K 2.136 6.299 8.941
K 2.136 6.299 12.949
K 2.136 2.082 10.945
K 2.136 -2.082 3.648
K 2.136 -6.299 1.644
K 2.136 -6.299 5.652
Al 2.136 3.734 1.323
Al 2.136 3.734 5.973
Al 2.136 -3.734 8.620
Al 2.136 -3.734 13.270
As 2.136 2.653 3.648
As 2.136 2.130 7.929
As 2.136 2.130 13.961
As 2.136 -2.130 0.633
As 2.136 -2.130 6.664
As 2.136 -2.653 10.945

#b
16
Lattice="7.626 0.000 0.000 0.000 6.123 0.000 -3.722 0.000 9.946" Properties=species:S:1:pos:R:3 comment="K3Al2As3 (PBE-GGA, relaxed)" density_g_cm3=2.8 vol_a3_per_atom=29.0 pbc="T T T"
K -0.415 1.531 1.482
K -1.045 4.593 4.341
K -0.546 1.531 9.068
K 4.450 4.593 0.877
K 4.950 1.531 5.605
K 4.319 4.593 8.464
Al 2.265 0.002 3.404
Al 2.265 3.059 3.404
Al 1.640 6.121 6.542
Al 1.640 3.064 6.542
As 1.101 4.593 1.842
As 0.611 1.531 4.718
As -0.037 4.593 7.507
As 3.942 1.531 2.439
As 3.294 4.593 5.228
As 2.804 1.531 8.104

Which structure is the least stable? The one labeled #a.

#a
12
Lattice="-2.808 6.483 2.967 2.808 -6.483 2.967 2.808 6.483 -2.967" Properties=species:S:1:pos:R:3 comment="Li3AlAs2 (PBE-GGA, relaxed)" density_g_cm3=3.0 vol_a3_per_atom=18.0 pbc="T T T"
Li 1.355 2.323 0.000
Li 0.000 0.000 1.484
Li 1.355 -2.323 2.967
Li 1.453 8.806 0.000
Li 0.000 0.000 4.451
Li 1.453 4.160 2.967
Al 2.808 0.000 1.484
Al 0.000 6.483 1.484
As 4.120 1.537 0.000
As 1.312 4.946 0.000
As 1.496 1.537 2.967
As -1.312 4.946 2.967

#b
12
Lattice="-3.064 6.141 3.209 3.064 -6.141 3.209 3.064 6.141 -3.209" Properties=species:S:1:pos:R:3 comment="Li3AlAs2 (PBE-GGA, relaxed)" density_g_cm3=2.7 vol_a3_per_atom=20.1 pbc="T T T"
Li 3.064 -2.928 1.605
Li 0.000 0.000 1.605
Li 3.064 2.928 1.605
Li 0.000 3.213 1.605
Li 0.000 0.000 4.814
Li 0.000 9.069 1.605
Al 3.064 0.000 0.000
Al 0.000 6.141 0.000
As 1.428 1.629 0.000
As 1.428 -1.629 3.209
As 1.635 7.770 0.000
As 1.635 4.512 3.209

Which structure is the least stable? The one labeled #b.

#a
4
Lattice="1.516 0.875 8.888 -1.516 0.875 8.888 0.000 -1.750 8.888" Properties=species:S:1:pos:R:3 comment="Li2AlAs (PBE-GGA, relaxed)" dos_at_fermi_per_ev_fu=2.26 density_g_cm3=2.7 vol_a3_per_atom=17.7 pbc="T T T"
Li 0.000 0.000 0.000
Li 0.000 0.000 6.373
Al 0.000 0.000 13.121
As 0.000 0.000 19.810

#b
4
Lattice="1.995 -2.008 0.000 1.995 2.008 0.000 0.000 0.000 8.317" Properties=species:S:1:pos:R:3 comment="Li2AlAs (PBE-GGA, relaxed)" dos_at_fermi_per_ev_fu=1.50 density_g_cm3=2.9 vol_a3_per_atom=16.7 pbc="T T T"
Li 0.000 0.000 1.907
Li 0.000 0.000 6.410
Al 1.995 0.000 4.159
As 1.995 0.000 0.000

Which structure is the least stable? The one labeled #a.

#a
4
Lattice="-1.980 1.980 4.115 1.980 -1.980 4.115 1.980 1.980 -4.115" Properties=species:S:1:pos:R:3 comment="Li2AlAs (PBE-GGA, relaxed)" dos_at_fermi_per_ev_fu=1.33 density_g_cm3=3.0 vol_a3_per_atom=16.1 pbc="T T T"
Li 0.000 0.000 0.000
Li 0.000 1.980 2.058
Al 1.980 0.000 2.058
As 0.000 0.000 4.115

#b
4
Lattice="4.778 0.000 0.000 0.000 2.943 0.000 -1.857 0.000 4.749" Properties=species:S:1:pos:R:3 comment="Li2AlAs (PBE-GGA, relaxed)" dos_at_fermi_per_ev_fu=0.60 density_g_cm3=2.9 vol_a3_per_atom=16.7 pbc="T T T"
Li 0.000 0.000 0.000
Li -0.929 1.472 2.374
Al 1.460 0.000 2.374
As 2.389 1.472 0.000

#c
4
Lattice="0.000 3.281 3.281 3.281 0.000 3.281 3.281 3.281 0.000" Properties=species:S:1:pos:R:3 comment="Li2AlAs (PBE-GGA, relaxed)" dos_at_fermi_per_ev_fu=1.65 density_g_cm3=2.7 vol_a3_per_atom=17.7 pbc="T T T"
Li 0.000 0.000 0.000
Li 1.640 1.640 1.640
Al 3.281 3.281 3.281
As 4.921 4.921 4.921

Which structure is the least stable? The one labeled #c.

#a
5
Lattice="4.905 0.000 0.000 0.000 4.905 0.000 0.000 0.000 4.905" Properties=species:S:1:pos:R:3 comment="LiAlAs3 (PBE-GGA, relaxed)" dos_at_fermi_per_ev_fu=3.38 density_g_cm3=3.6 vol_a3_per_atom=23.6 pbc="T T T"
Li 0.000 0.000 0.000
Al 2.453 2.453 2.453
As 0.000 2.453 2.453
As 2.453 0.000 2.453
As 2.453 2.453 0.000

#b
5
Lattice="4.594 0.000 0.000 0.000 4.594 0.000 0.000 0.000 4.594" Properties=species:S:1:pos:R:3 comment="LiAlAs3 (PBE-GGA, relaxed)" dos_at_fermi_per_ev_fu=3.33 density_g_cm3=4.4 vol_a3_per_atom=19.4 pbc="T T T"
Li 0.000 0.000 0.000
Al 2.297 2.297 2.297
As 0.000 0.000 2.297
As 0.000 2.297 0.000
As 2.297 0.000 0.000

Which structure is the least stable? The one labeled #b.

#a
7
Lattice="-2.353 2.353 4.244 2.353 -2.353 4.244 2.353 2.353 -4.244" Properties=species:S:1:pos:R:3 comment="LiAlAsO4 (PBE-GGA, relaxed)" dos_at_fermi_per_ev_fu=2.32 density_g_cm3=3.1 vol_a3_per_atom=13.4 pbc="T T T"
Li 0.000 0.000 0.000
Al 0.000 0.000 4.244
As 2.353 0.000 2.122
O 1.207 -0.909 3.275
O 1.444 1.146 0.969
O 1.146 3.262 -0.969
O 0.909 1.207 5.213

#b
14
Lattice="-2.896 3.062 3.965 2.896 -3.062 3.965 2.896 3.062 -3.965" Properties=species:S:1:pos:R:3 comment="LiAlAsO4 (PBE-GGA, relaxed)" dos_at_fermi_per_ev_fu=1.88 density_g_cm3=4.1 vol_a3_per_atom=10.0 pbc="T T T"
Li 0.000 0.000 0.000
Li 0.000 3.062 0.000
Al -1.448 1.531 1.983
Al 1.448 1.531 1.983
As 2.896 1.531 -1.045
As 0.000 1.531 5.010
O 1.474 1.531 0.009
O 4.317 1.531 0.009
O 0.000 0.291 1.972
O 2.896 0.291 1.993
O 0.000 2.771 1.972
O 2.896 2.771 1.993
O -1.422 1.531 3.956
O 1.422 1.531 3.956

Which structure is the least stable? The one labeled #a.

#a
5
Lattice="-2.364 2.364 5.024 2.364 -2.364 5.024 2.364 2.364 -5.024" Properties=species:S:1:pos:R:3 comment="Mg2AlAs2 (PBE-GGA, relaxed)" dos_at_fermi_per_ev_fu=3.13 density_g_cm3=3.3 vol_a3_per_atom=22.5 pbc="T T T"
Mg 2.364 0.000 2.512
Mg 0.000 2.364 2.512
Al 0.000 0.000 0.000
As 0.000 0.000 3.782
As 0.000 0.000 6.267

#b
10
Lattice="7.828 0.000 0.000 0.000 7.828 0.000 0.000 0.000 3.196" Properties=species:S:1:pos:R:3 comment="Mg2AlAs2 (PBE-GGA, relaxed)" dos_at_fermi_per_ev_fu=0.98 density_g_cm3=3.8 vol_a3_per_atom=19.6 pbc="T T T"
Mg 1.087 2.827 0.000
Mg 2.827 6.741 0.000
Mg 5.001 1.087 0.000
Mg 6.741 5.001 0.000
Al 0.000 0.000 1.598
Al 3.914 3.914 1.598
As 1.280 5.194 1.598
As 2.633 1.280 1.598
As 5.194 6.547 1.598
As 6.547 2.633 1.598

Which structure is the least stable? The one labeled #a.